Entry 1:
## AlS (PBE)

Data for an optimized crystal structure of AlS.

Calculated values
size of the total moment: 0.00 μB/f.u.
SG: I4/m
formation energy (no corrections): -0.50 eV/atom

Unit cell a=7.719 b=7.719 c=4.929 alpha=90.00 beta=90.00 gamma=90.00
Element x y z (fractional)
S: 0.096 0.301 0.000
S: 0.699 0.096 0.000
S: 0.801 0.404 0.500
S: 0.904 0.699 0.000
S: 0.404 0.199 0.500
S: 0.301 0.904 0.000
S: 0.199 0.596 0.500
S: 0.596 0.801 0.500
Al: 0.267 0.918 0.500
Al: 0.918 0.733 0.500
Al: 0.767 0.418 0.000
Al: 0.418 0.233 0.000
Al: 0.233 0.582 0.000
Al: 0.082 0.267 0.500
Al: 0.582 0.767 0.000
Al: 0.733 0.082 0.500


Entry 2:
## Tb2HgPd9 (PBE)

Data for an optimized crystal structure of Tb2HgPd9.

Calculated values
size of the total moment: 0.00 μB/f.u.
energy of formation from the pure elements: -7.35 eV per formula unit
SG: P4/mmm

Unit cell a=4.096 b=4.096 c=12.409 alpha=90.00 beta=90.00 gamma=90.00
Element x y z (fractional)
Hg: 0.000 0.000 0.000
Pd: 0.500 0.500 0.334
Pd: 0.000 0.500 0.165
Pd: 0.500 0.000 0.500
Pd: 0.000 0.500 0.500
Pd: 0.500 0.500 0.666
Pd: 0.500 0.000 0.165
Pd: 0.000 0.500 0.835
Pd: 0.500 0.500 0.000
Pd: 0.500 0.000 0.835
Tb: 0.000 0.000 0.330
Tb: 0.000 0.000 0.670


Entry 3:
## La3Pm3In2 (PBE)

Data for an optimized crystal structure of La3Pm3In2.

Calculated values
size of the total moment: 0.00 μB/f.u.
energy of formation from the pure elements: -2.28 eV per formula unit
SG: Pmmm

Unit cell a=4.955 b=4.999 c=10.136 alpha=90.00 beta=90.00 gamma=90.00
Element x y z (fractional)
La: 0.000 0.500 0.000
La: 0.500 0.000 0.500
La: 0.000 0.500 0.500
In: 0.000 0.000 0.247
In: 0.000 0.000 0.753
Pm: 0.500 0.000 0.000
Pm: 0.500 0.500 0.248
Pm: 0.500 0.500 0.752


Entry 4:
## CuTcPd2 (PBE)

Data for an optimized crystal structure of CuTcPd2.

Calculated values
size of the total moment: 0.00 μB/f.u.
energy of formation from the pure elements: -0.08 eV per formula unit
SG: P4/mmm

Unit cell a=2.746 b=2.746 c=7.565 alpha=90.00 beta=90.00 gamma=90.00
Element x y z (fractional)
Pd: 0.000 0.000 0.755
Pd: 0.000 0.000 0.245
Cu: 0.500 0.500 0.000
Tc: 0.500 0.500 0.500


Entry 5:
## As3PtCl (PBE)

Data for an optimized crystal structure of As3PtCl.

Calculated values
size of the total moment: 0.00 μB/f.u.
SG: Pm-3m
formation energy (no corrections): 1.29 eV/atom

Unit cell a=4.747 b=4.747 c=4.747 alpha=90.00 beta=90.00 gamma=90.00
Element x y z (fractional)
As: 0.000 0.000 0.500
As: 0.500 0.000 0.000
As: 0.000 0.500 0.000
Cl: 0.000 0.000 0.000
Pt: 0.500 0.500 0.500


Entry 6:
## La2HoEr8 (PBE)

Data for an optimized crystal structure of La2HoEr8.

Calculated values
size of the total moment: 0.01 μB/f.u.
energy of formation from the pure elements: 0.37 eV per formula unit
SG: C2/m

Unit cell a=5.033 b=7.948 c=9.406 alpha=104.68 beta=105.52 gamma=90.00
Element x y z (fractional)
La: 0.773 0.363 0.546
La: 0.227 0.637 0.454
Ho: 0.500 0.000 0.000
Er: 0.680 0.907 0.360
Er: 0.411 0.547 0.823
Er: 0.957 0.272 0.913
Er: 0.043 0.728 0.087
Er: 0.589 0.453 0.177
Er: 0.134 0.175 0.268
Er: 0.866 0.825 0.732
Er: 0.320 0.093 0.640


Entry 7:
## HoInAg (PBE)

Data for an optimized crystal structure of HoInAg.

Calculated values
size of the total moment: 0.06 μB/f.u.
energy of formation from the pure elements: -0.78 eV per formula unit
SG: I4mm

Unit cell a=3.449 b=3.449 c=6.361 alpha=105.73 beta=105.73 gamma=90.00
Element x y z (fractional)
Ag: 0.278 0.278 0.556
In: 0.629 0.629 0.259
Ho: 0.943 0.943 0.886


Entry 8:
## AcSn2Bi3 (PBE)

Data for an optimized crystal structure of AcSn2Bi3.

Calculated values
size of the total moment: 0.00 μB/f.u.
energy of formation from the pure elements: -1.58 eV per formula unit
SG: Pmc2_1

Unit cell a=4.790 b=7.050 c=12.413 alpha=90.00 beta=90.00 gamma=90.00
Element x y z (fractional)
Sn: 0.000 0.474 0.802
Sn: 0.000 0.974 0.198
Sn: 0.500 0.547 0.534
Sn: 0.500 0.047 0.466
Bi: 0.500 0.717 0.293
Bi: 0.500 0.202 0.017
Bi: 0.000 0.781 0.616
Bi: 0.500 0.217 0.707
Bi: 0.500 0.702 0.983
Bi: 0.000 0.281 0.384
Ac: 0.000 0.980 0.871
Ac: 0.000 0.480 0.129


Entry 9:
## Pm6PrNd8 (PBE)

Data for an optimized crystal structure of Pm6PrNd8.

Calculated values
size of the total moment: 0.00 μB/f.u.
energy of formation from the pure elements: 2.08 eV per formula unit
SG: R-3

Unit cell a=8.426 b=8.426 c=8.426 alpha=72.08 beta=72.08 gamma=72.08
Element x y z (fractional)
Nd: 0.947 0.134 0.627
Nd: 0.627 0.947 0.134
Nd: 0.239 0.239 0.239
Nd: 0.053 0.866 0.373
Nd: 0.761 0.761 0.761
Nd: 0.373 0.053 0.866
Nd: 0.134 0.627 0.947
Nd: 0.866 0.373 0.053
Pm: 0.173 0.437 0.617
Pm: 0.563 0.383 0.827
Pm: 0.437 0.617 0.173
Pm: 0.383 0.827 0.563
Pm: 0.827 0.563 0.383
Pm: 0.617 0.173 0.437
Pr: 0.000 0.000 0.000


Entry 10:
## NaCa2Zn (PBE)

Data for an optimized crystal structure of NaCa2Zn.

Calculated values
size of the total moment: 0.00 μB/f.u.
energy of formation from the pure elements: -0.09 eV per formula unit
SG: Fm-3m

Unit cell a=5.530 b=5.530 c=5.530 alpha=60.00 beta=60.00 gamma=60.00
Element x y z (fractional)
Zn: 0.500 0.500 0.500
Ca: 0.250 0.250 0.250
Ca: 0.750 0.750 0.750
Na: 0.000 0.000 0.000


Entry 11:
## La4PrY8 (PBE)

Data for an optimized crystal structure of La4PrY8.

Calculated values
size of the total moment: 2.94 μB/f.u.
energy of formation from the pure elements: 6.99 eV per formula unit
SG: R-3m

Unit cell a=7.911 b=7.911 c=7.911 alpha=90.12 beta=90.12 gamma=90.12
Each line ends with the local moment (μB).
Element x y z (fractional)
Y: 0.760 0.239 0.239  0.11
Y: 0.761 0.761 0.240  0.11
Y: 0.760 0.760 0.760  0.10
Y: 0.239 0.239 0.760  0.11
Y: 0.239 0.760 0.239  0.11
Y: 0.761 0.240 0.761  0.11
Y: 0.240 0.761 0.761  0.11
Y: 0.240 0.240 0.240  0.10
La: 0.500 0.500 0.000  0.23
La: 0.500 0.000 0.500  0.23
La: 0.000 0.500 0.500  0.23
La: 0.000 0.000 0.000  -0.06
Pr: 0.500 0.500 0.500  0.07


Entry 12:
## HfTi2Mn (PBE)

Data for an optimized crystal structure of HfTi2Mn.

Calculated values
size of the total moment: 0.00 μB/f.u.
energy of formation from the pure elements: -0.57 eV per formula unit
SG: Immm

Unit cell a=3.103 b=4.605 c=5.397 alpha=115.25 beta=106.71 gamma=90.00
Element x y z (fractional)
Ti: 0.788 0.788 0.576
Ti: 0.212 0.212 0.424
Hf: 0.000 0.500 0.000
Mn: 0.500 0.000 0.000


Entry 13:
## MnGePCN (PBE)

Data for an optimized crystal structure of MnGePCN.

Calculated values
size of the total moment: 1.03 μB/f.u.
SG: Pm
formation energy (no corrections): 0.14 eV/atom

Unit cell a=4.840 b=2.920 c=5.481 alpha=90.00 beta=115.41 gamma=90.00
Each line ends with the local moment (μB).
Element x y z (fractional)
Ge: 0.971 0.000 0.280  -0.03
Mn: 0.140 0.500 0.688  1.05
C: 0.510 0.500 0.673  0.00
P: 0.336 0.000 0.044  -0.04
N: 0.756 0.500 0.674  0.03


Entry 14:
## In14Sn2Hg9 (PBE)

Data for an optimized crystal structure of In14Sn2Hg9.

Calculated values
size of the total moment: 0.00 μB/f.u.
energy of formation from the pure elements: 1.15 eV per formula unit
SG: P-3

Unit cell a=8.282 b=8.282 c=12.102 alpha=90.00 beta=90.00 gamma=120.00
Element x y z (fractional)
In: 0.363 0.058 0.571
In: 0.396 0.311 0.931
In: 0.942 0.305 0.571
In: 0.689 0.085 0.931
In: 0.000 0.000 0.250
In: 0.604 0.689 0.069
In: 0.058 0.695 0.429
In: 0.695 0.637 0.571
In: 0.305 0.363 0.429
In: 0.311 0.915 0.069
In: 0.637 0.942 0.429
In: 0.000 0.000 0.750
In: 0.085 0.396 0.069
In: 0.915 0.604 0.931
Hg: 0.086 0.695 0.688
Hg: 0.305 0.391 0.688
Hg: 0.333 0.667 0.867
Hg: 0.695 0.609 0.312
Hg: 0.391 0.086 0.312
Hg: 0.000 0.000 0.000
Hg: 0.914 0.305 0.312
Hg: 0.609 0.914 0.688
Hg: 0.667 0.333 0.133
Sn: 0.333 0.667 0.259
Sn: 0.667 0.333 0.741


Entry 15:
## SrH2I2 (PBE)

Data for an optimized crystal structure of SrH2I2.

Calculated values
electronic total energy: -3.257 eV/atom
size of the total moment: 0.00 μB/f.u.
SG: Cmc2_1

Unit cell a=4.412 b=9.897 c=8.524 alpha=90.00 beta=90.00 gamma=102.88
Element x y z (fractional)
H: 0.143 0.287 0.640
H: 0.166 0.332 0.711
H: 0.857 0.713 0.140
H: 0.834 0.668 0.211
I: 0.804 0.609 0.606
I: 0.012 0.024 0.398
I: 0.196 0.391 0.106
I: 0.988 0.976 0.898
Sr: 0.580 0.159 0.129
Sr: 0.420 0.841 0.629


Entry 16:
## NaAlPb (PBE)

Data for an optimized crystal structure of NaAlPb.

Calculated values
size of the total moment: 0.00 μB/f.u.
energy of formation from the pure elements: 0.60 eV per formula unit
SG: Pmmm

Unit cell a=3.884 b=4.358 c=5.510 alpha=90.00 beta=90.00 gamma=90.00
Element x y z (fractional)
Na: 0.000 0.000 0.500
Al: 0.000 0.500 0.000
Pb: 0.500 0.000 0.000


Entry 17:
## Pm5Sn2Au2 (PBE)

Data for an optimized crystal structure of Pm5Sn2Au2.

Calculated values
size of the total moment: 0.00 μB/f.u.
energy of formation from the pure elements: -6.05 eV per formula unit
SG: Cmce

Unit cell a=8.018 b=8.297 c=8.938 alpha=117.65 beta=90.00 gamma=90.00
Element x y z (fractional)
Pm: 0.338 0.696 0.735
Pm: 0.838 0.538 0.735
Pm: 0.500 0.500 0.000
Pm: 0.162 0.462 0.265
Pm: 0.838 0.804 0.265
Pm: 0.000 0.000 0.000
Pm: 0.338 0.962 0.265
Pm: 0.162 0.196 0.735
Pm: 0.662 0.038 0.735
Pm: 0.662 0.304 0.265
Sn: 0.500 0.706 0.413
Sn: 0.000 0.794 0.587
Sn: 0.000 0.206 0.413
Sn: 0.500 0.294 0.587
Au: 0.368 0.129 0.000
Au: 0.868 0.371 0.000
Au: 0.132 0.629 0.000
Au: 0.632 0.871 0.000


Entry 18:
## BeCuRu2 (PBE)

Data for an optimized crystal structure of BeCuRu2.

Calculated values
size of the total moment: 0.00 μB/f.u.
energy of formation from the pure elements: 0.47 eV per formula unit
SG: R-3m

Unit cell a=8.258 b=8.258 c=8.258 alpha=18.52 beta=18.52 gamma=18.52
Element x y z (fractional)
Cu: 0.750 0.750 0.750
Ru: 0.994 0.994 0.994
Ru: 0.506 0.506 0.506
Be: 0.250 0.250 0.250


Entry 19:
## RbGaBr2F (PBE)

Data for an optimized crystal structure of RbGaBr2F.

Calculated values
size of the total moment: 0.00 μB/f.u.
SG: P4/mmm
formation energy (no corrections): -1.50 eV/atom

Unit cell a=5.589 b=5.589 c=4.265 alpha=90.00 beta=90.00 gamma=90.00
Element x y z (fractional)
Ga: 0.000 0.000 0.000
Br: 0.500 0.000 0.000
Br: 0.000 0.500 0.000
F: 0.000 0.000 0.500
Rb: 0.500 0.500 0.500